(1)
This record from the Alexandria database describes an optimized crystal structure of TlRuAu2. The functional is PBE.

Unit cell a=2.971 b=2.971 c=8.953 alpha=90.00 beta=90.00 gamma=90.00
Space group P4/mmm (No. 123)
Asymmetric unit:
Tl: 0.000 0.000 0.000
Ru: 0.000 0.000 0.500
Au: 0.500 0.500 0.289

Properties
raw total energy = -0.30456 Ry/atom
polymorph energy (0 for the lowest one) = 0.081 eV per atom
ΔH_f (0 K) = 0.405 eV per atom


(2)
This record from the Alexandria database describes an optimized crystal structure of TlRuAu2. The functional is PBE.

Unit cell a=4.358 b=4.358 c=7.671 alpha=90.00 beta=90.00 gamma=90.00
Space group I-4m2 (No. 119)
Asymmetric unit:
Tl: 0.000 0.000 0.000
Ru: 0.000 0.500 0.250
Au: 0.000 0.000 0.500
Au: 0.000 0.500 0.750

Properties
raw total energy = -0.30425 Ry/atom
polymorph energy (0 for the lowest one) = 0.086 eV per atom
ΔH_f (0 K) = 0.410 eV per atom


(3)
This record from the Alexandria database describes an optimized crystal structure of TlRuAu2. The functional is PBE.

Unit cell a=6.630 b=6.630 c=6.630 alpha=90.00 beta=90.00 gamma=90.00
Space group F-43m (No. 216)
Asymmetric unit:
Tl: 0.000 0.000 0.000
Ru: 0.250 0.250 0.750
Au: 0.000 0.000 0.500
Au: 0.250 0.250 0.250

Properties
raw total energy = -0.30385 Ry/atom
polymorph energy (0 for the lowest one) = 0.091 eV per atom
ΔH_f (0 K) = 0.415 eV per atom


(4)
This record from the Alexandria database describes an optimized crystal structure of TlRuAu2. The functional is PBE.

Unit cell a=3.312 b=4.808 c=9.251 alpha=90.00 beta=90.00 gamma=90.00
Space group Imm2 (No. 44)
Asymmetric unit:
Tl: 0.000 0.000 0.000
Ru: 0.000 0.500 0.257
Au: 0.000 0.000 0.509
Au: 0.000 0.500 0.755

Properties
raw total energy = -0.30137 Ry/atom
polymorph energy (0 for the lowest one) = 0.125 eV per atom
ΔH_f (0 K) = 0.449 eV per atom